No. 1
Entry from Alexandria: an optimized crystal structure of YTi2BRu (PBEsol).

Lattice parameters (Å, degrees): 4.077 4.441 4.441 90.00 90.00 90.00
Sites, in units of the cell vectors:
1 B 0.000 0.000 0.000
2 Ru 0.500 0.000 0.000
3 Y 0.500 0.500 0.500
4 Ti 0.000 0.500 0.000
5 Ti 0.000 0.000 0.500

Calculated values
total energy	-8.251	eV/atom

No. 2
Entry from Alexandria: an optimized crystal structure of TaAgO3 (PBEsol).

Lattice parameters (Å, degrees): 5.476 5.476 5.587 60.66 60.66 60.00
Sites, in units of the cell vectors:
1 Ag 0.250 0.250 0.250
2 O 0.181 0.750 0.750
3 O 0.681 0.819 0.250
4 O 0.250 0.681 0.250
5 O 0.319 0.181 0.750
6 Ta 0.000 0.000 0.000
7 Ta 0.500 0.500 0.500
8 Ag 0.750 0.750 0.750
9 O 0.750 0.319 0.750
10 O 0.819 0.250 0.250

Calculated values
formation energy (no corrections)	-1.983	eV per atom

No. 3
Entry from Alexandria: an optimized crystal structure of Cs2P2H2O7 (PBEsol).

Lattice parameters (Å, degrees): 5.991 5.991 11.397 90.29 90.29 96.24
Sites, in units of the cell vectors:
1 O 0.796 0.757 0.392
2 H 0.097 0.518 0.257
3 P 0.175 0.197 0.737
4 Cs 0.726 0.268 0.480
5 O 0.598 0.811 0.195
6 O 0.968 0.654 0.194
7 O 0.032 0.346 0.806
8 O 0.811 0.598 0.695
9 Cs 0.732 0.274 0.020
10 P 0.197 0.175 0.237
11 P 0.803 0.825 0.763
12 O 0.346 0.032 0.306
13 H 0.482 0.903 0.243
14 O 0.936 0.064 0.250
15 H 0.518 0.097 0.757
16 O 0.189 0.402 0.305
17 O 0.204 0.243 0.608
18 O 0.064 0.936 0.750
19 Cs 0.274 0.732 0.520
20 Cs 0.268 0.726 0.980
21 P 0.825 0.803 0.263
22 O 0.402 0.189 0.805
23 O 0.654 0.968 0.694
24 O 0.243 0.204 0.108
25 H 0.903 0.482 0.743
26 O 0.757 0.796 0.892

Calculated values
total energy	-6.404	eV/atom

No. 4
Entry from Alexandria: an optimized crystal structure of MgPbAu2 (PBEsol).

Lattice parameters (Å, degrees): 3.525 4.326 5.792 90.00 107.15 90.00
Sites, in units of the cell vectors:
1 Au 0.965 0.500 0.302
2 Mg 0.515 0.000 0.408
3 Au 0.800 0.000 0.979
4 Pb 0.220 0.500 0.811

Calculated values
total energy	-3.649	eV/atom

No. 5
Entry from Alexandria: an optimized crystal structure of AuCl3 (PBEsol).

Lattice parameters (Å, degrees): 3.808 3.808 6.988 74.19 74.19 60.00
Sites, in units of the cell vectors:
1 Cl 0.733 0.733 0.801
2 Au 0.000 0.000 0.000
3 Cl 0.500 0.500 0.500
4 Cl 0.267 0.267 0.199

Calculated values
formation energy (no corrections)	0.177	eV per atom

No. 6
Entry from Alexandria: an optimized crystal structure of Y2SbRu (PBEsol).

Lattice parameters (Å, degrees): 4.050 4.199 5.866 110.97 90.00 90.00
Sites, in units of the cell vectors:
1 Y 0.500 0.392 0.784
2 Ru 0.000 0.844 0.688
3 Y 0.000 0.102 0.204
4 Sb 0.500 0.682 0.364

Calculated values
formation energy (no corrections)	-0.630	eV per atom

No. 7
Entry from Alexandria: an optimized crystal structure of LiHg2Ru (PBEsol).

Lattice parameters (Å, degrees): 2.781 4.712 5.548 96.80 90.00 107.16
Sites, in units of the cell vectors:
1 Hg 0.246 0.491 0.250
2 Ru 0.500 0.000 0.000
3 Li 0.000 0.000 0.500
4 Hg 0.754 0.509 0.750

Calculated values
distance to the lowest polymorph of the same formula	0.243	eV per atom

No. 8
Entry from Alexandria: an optimized crystal structure of TiCr7O12 (PBEsol).

Lattice parameters (Å, degrees): 4.963 5.344 7.291 95.74 89.96 90.07
Last column: magnetic moment on the atom in μB.
Sites, in units of the cell vectors:
1 Ti 0.000 0.698 0.153  -0.17
2 O 0.153 0.653 0.903  0.00
3 O 0.193 0.000 0.251  0.00
4 Cr 0.001 0.699 0.651  2.79
5 Cr 0.499 0.201 0.649  2.85
6 O 0.349 0.850 0.597  -0.02
7 O 0.699 0.501 0.751  -0.02
8 O 0.802 0.001 0.749  -0.02
9 Cr 0.000 0.309 0.348  2.65
10 Cr 0.501 0.803 0.846  2.80
11 O 0.843 0.343 0.098  0.00
12 Cr 0.502 0.799 0.349  2.68
13 O 0.651 0.846 0.096  0.00
14 O 0.310 0.496 0.249  0.01
15 O 0.151 0.350 0.599  -0.02
16 O 0.652 0.150 0.400  -0.02
17 O 0.348 0.151 0.901  -0.01
18 O 0.848 0.654 0.407  0.00
19 Cr 0.999 0.300 0.851  2.79
20 Cr 0.499 0.196 0.152  2.74

Calculated values
formation energy (no corrections)	-2.029	eV per atom

No. 9
Entry from Alexandria: an optimized crystal structure of CuP4Se4I (PBEsol).

Lattice parameters (Å, degrees): 9.441 9.441 12.316 90.00 90.00 102.27
Sites, in units of the cell vectors:
1 Se 0.341 0.841 0.250
2 Se 0.474 0.474 0.305
3 P 0.641 0.276 0.144
4 P 0.724 0.359 0.856
5 P 0.859 0.224 0.644
6 P 0.047 0.262 0.755
7 Cu 0.403 0.597 0.000
8 Se 0.359 0.957 0.904
9 Se 0.957 0.359 0.904
10 Cu 0.097 0.903 0.500
11 I 0.818 0.818 0.525
12 I 0.682 0.682 0.025
13 Cu 0.903 0.097 0.500
14 Se 0.859 0.457 0.596
15 P 0.547 0.762 0.745
16 Cu 0.597 0.403 0.000
17 P 0.776 0.141 0.356
18 Se 0.043 0.641 0.096
19 Se 0.526 0.526 0.695
20 Se 0.974 0.974 0.195
21 I 0.182 0.182 0.475
22 P 0.953 0.738 0.245
23 Se 0.026 0.026 0.805
24 P 0.453 0.238 0.255
25 P 0.262 0.047 0.755
26 Se 0.841 0.341 0.250
27 P 0.276 0.641 0.144
28 Se 0.543 0.141 0.404
29 P 0.359 0.724 0.856
30 P 0.141 0.776 0.356
31 Se 0.457 0.859 0.596
32 P 0.762 0.547 0.745
33 P 0.238 0.453 0.255
34 P 0.224 0.859 0.644
35 I 0.318 0.318 0.975
36 Se 0.641 0.043 0.096
37 Se 0.659 0.159 0.750
38 Se 0.159 0.659 0.750
39 Se 0.141 0.543 0.404
40 P 0.738 0.953 0.245

Calculated values
formation energy (no corrections)	-0.110	eV per atom

No. 10
Entry from Alexandria: an optimized crystal structure of La2SiAs (PBEsol).

Lattice parameters (Å, degrees): 4.247 4.427 5.905 96.35 111.08 90.00
Sites, in units of the cell vectors:
1 Si 0.534 0.419 0.068
2 La 0.257 0.356 0.514
3 As 0.715 0.828 0.430
4 La 0.994 0.896 0.988

Calculated values
formation energy (no corrections)	-0.984	eV per atom

No. 11
Entry from Alexandria: an optimized crystal structure of SrLa3 (PBEsol).

Lattice parameters (Å, degrees): 3.717 3.717 12.648 81.55 81.55 60.00
Sites, in units of the cell vectors:
1 La 0.500 0.500 0.500
2 La 0.244 0.244 0.268
3 La 0.756 0.756 0.732
4 Sr 0.000 0.000 0.000

Calculated values
total energy	-4.386	eV/atom

No. 12
Entry from Alexandria: an optimized crystal structure of Re2TeIrW (PBEsol).

Lattice parameters (Å, degrees): 4.638 4.638 4.996 90.00 90.00 90.00
Last column: magnetic moment on the atom in μB.
Sites, in units of the cell vectors:
1 Re 0.500 0.000 0.000  -0.30
2 W 0.500 0.500 0.500  1.68
3 Re 0.000 0.500 0.000  -0.30
4 Ir 0.000 0.000 0.000  -0.01
5 Te 0.000 0.000 0.500  -0.05

Calculated values
formation energy (no corrections)	2.538	eV per atom

No. 13
Entry from Alexandria: an optimized crystal structure of Li3Mn2P5O16 (PBEsol).

Lattice parameters (Å, degrees): 5.025 6.953 18.059 90.00 93.31 90.00
Last column: magnetic moment on the atom in μB.
Sites, in units of the cell vectors:
1 Mn 0.268 0.169 0.587  4.51
2 O 0.628 0.018 0.634  0.03
3 O 0.087 0.382 0.932  0.02
4 O 0.397 0.794 0.978  0.03
5 Li 0.500 0.017 0.750  0.00
6 O 0.809 0.317 0.145  0.01
7 P 0.263 0.467 0.876  0.01
8 O 0.057 0.911 0.570  0.03
9 Li 0.500 0.983 0.250  0.00
10 O 0.372 0.982 0.366  0.03
11 O 0.603 0.794 0.522  0.03
12 O 0.194 0.380 0.795  0.00
13 Mn 0.732 0.169 0.913  4.51
14 O 0.178 0.872 0.201  0.02
15 O 0.560 0.549 0.393  0.02
16 P 0.000 0.237 0.750  0.01
17 O 0.628 0.982 0.134  0.03
18 O 0.372 0.018 0.866  0.03
19 Mn 0.732 0.831 0.413  4.51
20 O 0.943 0.911 0.930  0.03
21 P 0.772 0.868 0.589  0.01
22 O 0.087 0.618 0.432  0.02
23 O 0.057 0.089 0.070  0.03
24 O 0.809 0.683 0.645  0.01
25 O 0.806 0.380 0.705  0.00
26 O 0.560 0.451 0.893  0.02
27 O 0.822 0.128 0.799  0.02
28 O 0.191 0.317 0.355  0.01
29 Li 0.257 0.669 0.536  0.00
30 O 0.806 0.620 0.205  0.00
31 O 0.191 0.683 0.855  0.01
32 O 0.440 0.451 0.607  0.02
33 O 0.178 0.128 0.701  0.02
34 Li 0.257 0.331 0.036  0.00
35 Li 0.743 0.331 0.464  0.00
36 P 0.737 0.467 0.624  0.01
37 Mn 0.268 0.831 0.087  4.51
38 P 0.263 0.533 0.376  0.01
39 P 0.228 0.132 0.411  0.01
40 O 0.913 0.618 0.068  0.02
41 O 0.194 0.620 0.295  0.00
42 P 0.737 0.533 0.124  0.01
43 P 0.228 0.868 0.911  0.01
44 O 0.822 0.872 0.299  0.02
45 P 0.000 0.763 0.250  0.01
46 Li 0.743 0.669 0.964  0.00
47 O 0.913 0.382 0.568  0.02
48 O 0.397 0.206 0.478  0.03
49 O 0.943 0.089 0.430  0.03
50 O 0.603 0.206 0.022  0.03
51 P 0.772 0.132 0.089  0.01
52 O 0.440 0.549 0.107  0.02

Calculated values
formation energy (no corrections)	-2.135	eV per atom

No. 14
Entry from Alexandria: an optimized crystal structure of LiV2O3F (PBEsol).

Lattice parameters (Å, degrees): 5.915 7.576 7.576 65.01 67.04 67.04
Last column: magnetic moment on the atom in μB.
Sites, in units of the cell vectors:
1 O 0.358 0.366 0.884  0.00
2 O 0.660 0.126 0.621  0.01
3 V 0.210 0.760 0.275  0.16
4 V 0.503 0.496 0.965  0.16
5 V 0.409 0.597 0.647  -0.17
6 V 0.639 0.355 0.389  1.49
7 V 0.710 0.275 0.760  0.16
8 O 0.858 0.884 0.366  0.00
9 O 0.856 0.391 0.854  0.01
10 Li 0.589 0.014 0.246  0.00
11 F 0.239 0.983 0.023  0.00
12 O 0.531 0.734 0.739  0.00
13 O 0.356 0.854 0.391  0.01
14 F 0.739 0.023 0.983  0.00
15 F 0.608 0.619 0.132  0.00
16 Li 0.382 0.000 0.755  0.00
17 O 0.496 0.285 0.246  -0.03
18 O 0.160 0.621 0.126  0.01
19 O 0.031 0.739 0.734  0.00
20 O 0.268 0.501 0.495  0.01
21 V 0.909 0.647 0.597  -0.17
22 V 0.003 0.965 0.496  0.16
23 Li 0.882 0.755 0.000  0.00
24 O 0.768 0.495 0.501  0.01
25 Li 0.089 0.246 0.014  0.00
26 F 0.108 0.132 0.619  0.00
27 V 0.139 0.389 0.355  1.49
28 O 0.996 0.246 0.285  -0.03

Calculated values
distance to the lowest polymorph of the same formula	0.000	eV per atom
formation energy (no corrections)	-2.432	eV per atom

No. 15
Entry from Alexandria: an optimized crystal structure of BaTa2Ir (PBEsol).

Lattice parameters (Å, degrees): 4.729 4.729 4.729 60.00 60.00 60.00
Sites, in units of the cell vectors:
1 Ir 0.500 0.500 0.500
2 Ba 0.000 0.000 0.000
3 Ta 0.750 0.750 0.750
4 Ta 0.250 0.250 0.250

Calculated values
distance to the lowest polymorph of the same formula	0.491	eV per atom

No. 16
Entry from Alexandria: an optimized crystal structure of BeCr2Os (PBEsol).

Lattice parameters (Å, degrees): 2.652 2.652 6.408 90.00 90.00 90.00
Sites, in units of the cell vectors:
1 Cr 0.000 0.000 0.726
2 Cr 0.000 0.000 0.274
3 Be 0.500 0.500 0.500
4 Os 0.500 0.500 0.000

Calculated values
total energy	-9.018	eV/atom

No. 17
Entry from Alexandria: an optimized crystal structure of CuNiAg2 (PBEsol).

Lattice parameters (Å, degrees): 3.798 3.798 4.651 114.10 114.10 90.00
Sites, in units of the cell vectors:
1 Ni 0.250 0.750 0.500
2 Ag 0.750 0.250 0.500
3 Ag 0.000 0.000 0.000
4 Cu 0.500 0.500 0.000

Calculated values
distance to the lowest polymorph of the same formula	0.000	eV per atom

No. 18
Entry from Alexandria: an optimized crystal structure of SrAsCl2 (PBEsol).

Lattice parameters (Å, degrees): 4.032 4.032 6.428 108.28 108.28 90.00
Sites, in units of the cell vectors:
1 Cl 0.000 0.000 0.000
2 As 0.250 0.750 0.500
3 Sr 0.500 0.500 0.000
4 Cl 0.750 0.250 0.500

Calculated values
distance to the lowest polymorph of the same formula	0.000	eV per atom
formation energy (no corrections)	-1.074	eV per atom

No. 19
Entry from Alexandria: an optimized crystal structure of BaCdHg2 (PBEsol).

Lattice parameters (Å, degrees): 5.044 6.029 5.042 114.60 120.01 90.00
Sites, in units of the cell vectors:
1 Cd 0.703 0.108 0.406
2 Hg 0.274 0.823 0.548
3 Ba 0.491 0.473 0.982
4 Hg 0.032 0.096 0.064

Calculated values
total energy	-1.465	eV/atom

No. 20
Entry from Alexandria: an optimized crystal structure of La2AgIr (PBEsol).

Lattice parameters (Å, degrees): 3.597 3.597 7.474 90.00 90.00 90.00
Sites, in units of the cell vectors:
1 Ag 0.500 0.500 0.500
2 La 0.000 0.000 0.776
3 Ir 0.500 0.500 0.000
4 La 0.000 0.000 0.224

Calculated values
distance to the lowest polymorph of the same formula	0.001	eV per atom

No. 21
Entry from Alexandria: an optimized crystal structure of Li2ZnSi (PBEsol).

Lattice parameters (Å, degrees): 2.757 3.778 5.480 90.00 90.00 90.00
Sites, in units of the cell vectors:
1 Si 0.000 0.000 0.503
2 Li 0.000 0.000 0.991
3 Li 0.500 0.500 0.261
4 Zn 0.500 0.500 0.745

Calculated values
formation energy (no corrections)	-0.103	eV per atom